CaAg2As: optimized geometry, PBEsol.

Unit cell a=5.440 b=5.440 c=5.440 alpha=135.29 beta=135.29 gamma=65.08
Atoms (fractional coordinates):
1 Ca 0.000 0.000 0.000
2 Ag 0.250 0.750 0.500
3 Ag 0.750 0.250 0.500
4 As 0.500 0.500 0.000

Output
E_form ... -128 kJ/mol of formula units
Space group ... I4/mmm, No. 139
Calculated volume ... 19.630 A^3/atom
Uncorrected energy ... -3.80 eV/atom